This record from the Alexandria database describes a relaxed Ta3Rh crystal. The functional is PBEsol.

Cell: 4.4811 4.4811 3.2752 Å, 90.00 90.00 90.00°
Space group P4/mmm (No. 123)
Asymmetric unit:
1 Ta 0.0000 0.0000 0.0000 [1 per cell]
2 Ta 0.0000 0.5000 0.5000 [2 per cell]
3 Rh 0.5000 0.5000 0.0000 [1 per cell]

The total magnetization comes out at 0.0001 μB/atom. The value obtained for the formation energy is -5.55 kcal/mol of atoms. For the uncorrected energy, the calculation gives -46.8 eV/f.u.